NpNi5Sb | PBE | relaxed Values from VASP.

Cell and atoms, written as Quantum ESPRESSO input:
```
&SYSTEM
  ibrav = 0, nat = 28, ntyp = 3
/
ATOMIC_SPECIES
Np 237.00 Np.upf
Ni 58.69 Ni.upf
Sb 121.76 Sb.upf
ATOMIC_POSITIONS crystal
Np 0.244 0.250 0.054
Np 0.256 0.750 0.554
Np 0.744 0.250 0.446
Np 0.756 0.750 0.946
Ni 0.073 0.501 0.812
Ni 0.073 0.999 0.812
Ni 0.075 0.250 0.598
Ni 0.091 0.750 0.021
Ni 0.175 0.750 0.256
Ni 0.325 0.250 0.756
Ni 0.409 0.250 0.521
Ni 0.425 0.750 0.098
Ni 0.427 0.001 0.312
Ni 0.427 0.499 0.312
Ni 0.573 0.501 0.688
Ni 0.573 0.999 0.688
Ni 0.575 0.250 0.902
Ni 0.591 0.750 0.479
Ni 0.675 0.750 0.244
Ni 0.825 0.250 0.744
Ni 0.909 0.250 0.979
Ni 0.925 0.750 0.402
Ni 0.927 0.001 0.188
Ni 0.927 0.499 0.188
Sb 0.139 0.250 0.354
Sb 0.361 0.750 0.854
Sb 0.639 0.250 0.146
Sb 0.861 0.750 0.646
CELL_PARAMETERS angstrom
8.004 0.000 0.000
0.000 4.943 0.000
0.000 0.000 10.133
```

* uncorrected formation energy: -1.2 eV/f.u.



BaHg2Pt | PBE | relaxed Values from VASP.

Cell and atoms, written as Quantum ESPRESSO input:
```
&SYSTEM
  ibrav = 0, nat = 32, ntyp = 3
/
ATOMIC_SPECIES
Ba 137.33 Ba.upf
Hg 200.59 Hg.upf
Pt 195.08 Pt.upf
ATOMIC_POSITIONS crystal
Ba 0.102 0.250 0.243
Ba 0.139 0.750 0.467
Ba 0.361 0.250 0.967
Ba 0.398 0.750 0.743
Ba 0.602 0.250 0.257
Ba 0.639 0.750 0.033
Ba 0.861 0.250 0.533
Ba 0.898 0.750 0.757
Hg 0.038 0.057 0.750
Hg 0.038 0.443 0.750
Hg 0.212 0.551 0.961
Hg 0.212 0.949 0.961
Hg 0.288 0.051 0.461
Hg 0.288 0.449 0.461
Hg 0.462 0.557 0.250
Hg 0.462 0.943 0.250
Hg 0.538 0.057 0.750
Hg 0.538 0.443 0.750
Hg 0.712 0.551 0.539
Hg 0.712 0.949 0.539
Hg 0.788 0.051 0.039
Hg 0.788 0.449 0.039
Hg 0.962 0.557 0.250
Hg 0.962 0.943 0.250
Pt 0.072 0.750 0.982
Pt 0.186 0.250 0.727
Pt 0.314 0.750 0.227
Pt 0.428 0.250 0.482
Pt 0.572 0.750 0.518
Pt 0.686 0.250 0.773
Pt 0.814 0.750 0.273
Pt 0.928 0.250 0.018
CELL_PARAMETERS angstrom
17.114 0.000 0.000
0.000 8.277 0.000
0.000 0.000 6.071
```

* formation energy: -491.0 meV per atom



TaReAg2 | PBE | relaxed Values from VASP.

Cell and atoms, written as Quantum ESPRESSO input:
```
&SYSTEM
  ibrav = 0, nat = 4, ntyp = 3
/
ATOMIC_SPECIES
Ta 180.95 Ta.upf
Re 186.21 Re.upf
Ag 107.87 Ag.upf
ATOMIC_POSITIONS crystal
Ta 0.000 0.000 0.000
Re 0.500 0.500 0.000
Ag 0.000 0.500 0.500
Ag 0.500 0.000 0.500
CELL_PARAMETERS angstrom
2.707 -4.520 0.000
2.707 4.520 0.000
0.000 0.000 2.739
```

* polymorph energy (0 for the lowest one): 0.289 eV per atom
* formation energy: 511.9 meV per atom



KNpSn3 | PBE | relaxed Values from VASP.

Cell and atoms, written as Quantum ESPRESSO input:
```
&SYSTEM
  ibrav = 0, nat = 5, ntyp = 3
/
ATOMIC_SPECIES
K 39.10 K.upf
Np 237.00 Np.upf
Sn 118.71 Sn.upf
ATOMIC_POSITIONS crystal
K 0.000 0.000 0.000
Np 0.500 0.500 0.500
Sn 0.000 0.500 0.500
Sn 0.500 0.000 0.500
Sn 0.500 0.500 0.000
CELL_PARAMETERS angstrom
5.877 0.000 0.000
0.000 5.877 0.000
0.000 0.000 5.877
```

* formation energy: 438.5 meV per atom



TiSb3 | PBE | relaxed Values from VASP.

Cell and atoms, written as Quantum ESPRESSO input:
```
&SYSTEM
  ibrav = 0, nat = 4, ntyp = 2
/
ATOMIC_SPECIES
Ti 47.87 Ti.upf
Sb 121.76 Sb.upf
ATOMIC_POSITIONS crystal
Ti 0.000 0.000 0.000
Sb 0.075 0.771 0.304
Sb 0.467 0.771 0.696
Sb 0.651 0.151 0.500
CELL_PARAMETERS angstrom
-1.799 4.516 2.982
1.799 -4.516 2.982
1.799 4.516 -2.982
```

* uncorrected formation energy: -0.6 eV/f.u.
* polymorph energy (0 for the lowest one): 0.000 eV per atom



MnOsW2 | PBE | relaxed Values from VASP.

Cell and atoms, written as Quantum ESPRESSO input:
```
&SYSTEM
  ibrav = 0, nat = 4, ntyp = 3
/
ATOMIC_SPECIES
Mn 54.94 Mn.upf
Os 190.23 Os.upf
W 183.84 W.upf
ATOMIC_POSITIONS crystal
Mn 0.000 0.000 0.000
Os 0.500 0.500 0.765
W 0.000 0.000 0.507
W 0.500 0.500 0.242
CELL_PARAMETERS angstrom
1.568 -2.208 0.000
1.568 2.208 0.000
0.000 0.000 8.591
```

* polymorph energy (0 for the lowest one): 0.104 eV per atom
* formation energy: 211.3 meV per atom



Rb3BaCe2Te6 | PBE | relaxed Values from VASP.

Cell and atoms, written as Quantum ESPRESSO input:
```
&SYSTEM
  ibrav = 0, nat = 12, ntyp = 4
/
ATOMIC_SPECIES
Rb 85.47 Rb.upf
Ba 137.33 Ba.upf
Ce 140.12 Ce.upf
Te 127.60 Te.upf
ATOMIC_POSITIONS crystal
Rb 0.000 0.000 0.000
Rb 0.340 0.660 0.000
Rb 0.660 0.340 0.000
Ba 0.500 0.500 0.500
Ce 0.167 0.833 0.500
Ce 0.833 0.167 0.500
Te 0.068 0.430 0.294
Te 0.207 0.207 0.704
Te 0.430 0.068 0.294
Te 0.570 0.932 0.706
Te 0.793 0.793 0.296
Te 0.932 0.570 0.706
CELL_PARAMETERS angstrom
4.149 -7.188 0.000
4.149 7.188 0.000
-2.795 0.000 8.517
```

* uncorrected formation energy: -16.4 eV/f.u.



Mg2ZnTc | PBE | relaxed Values from VASP.

Cell and atoms, written as Quantum ESPRESSO input:
```
&SYSTEM
  ibrav = 0, nat = 4, ntyp = 3
/
ATOMIC_SPECIES
Mg 24.30 Mg.upf
Zn 65.41 Zn.upf
Tc 98.00 Tc.upf
ATOMIC_POSITIONS crystal
Mg 0.000 0.500 0.000
Mg 0.500 0.000 0.000
Zn 0.000 0.000 0.500
Tc 0.500 0.500 0.500
CELL_PARAMETERS angstrom
2.803 -4.197 0.000
2.803 4.197 0.000
0.000 0.000 2.810
```

* polymorph energy (0 for the lowest one): 0.018 eV per atom
* formation energy: 103.1 meV per atom